{
  "formula": "HgBO2F",
  "functional": "PBE",
  "state": "optimized geometry",
  "lattice_angstrom": [[4.148, 0.000, 0.000], [0.000, 4.559, 0.000], [0.000, 0.000, 4.148]],
  "species": ["B", "Hg", "O", "O", "F"],
  "frac_coords": [[0.500, 0.500, 0.500], [0.000, 0.000, 0.000], [0.000, 0.000, 0.500], [0.500, 0.000, 0.000], [0.000, 0.500, 0.000]],
  "volume_a3_per_cell": 78.45,
  "magmom_total_mub_per_cell": 0.75,
  "raw_formation_energy_ev_per_atom": 0.94
}